Entry 1:
## AcCe2Ru2 (PBE)

Data for crystalline AcCe2Ru2 at its relaxed geometry.

Values from the calculation:
The calculation puts the density of states at the Fermi level at 6.09 states/eV/f.u. For the total energy, the calculation gives -7.2117 eV/atom. As for the calculated volume: 279.0 Å³/cell. As for the size of the total moment: 0.24 μB per formula unit. The distance to the lowest polymorph of the same formula comes out at 0 meV/atom. For the calculated formation energy, the calculation gives -148 kJ/mol of formula units.

The structure in CIF format:
```
data_AcCe2Ru2
_cell_length_a 6.546
_cell_length_b 6.803
_cell_length_c 7.173
_cell_angle_alpha 93.28
_cell_angle_beta 100.92
_cell_angle_gamma 115.73
_symmetry_space_group_name_H-M 'P -1'
_symmetry_Int_Tables_number 2
loop_
_symmetry_equiv_pos_as_xyz
'x,y,z'
'-x,-y,-z'
loop_
_atom_site_label
_atom_site_fract_x
_atom_site_fract_y
_atom_site_fract_z
Ac1 0.133 0.434 0.286
Ce1 0.203 0.219 0.796
Ce2 0.441 0.061 0.244
Ru1 0.156 0.914 0.455
Ru2 0.408 0.663 0.969
```

Entry 2:
## Tm2Be4Co3 (PBE)

Data for crystalline Tm2Be4Co3 at its relaxed geometry.

Values from the calculation:
The calculation puts the density of states at the Fermi level at 5.40 states/eV/f.u. For the total energy, the calculation gives -5.1357 eV/atom. As for the calculated volume: 479.3 Å³/cell. As for the size of the total moment: 1.21 μB per formula unit. For the calculated formation energy, the calculation gives -102 kJ/mol of formula units.

The structure in CIF format:
```
data_Tm2Be4Co3
_cell_length_a 4.658
_cell_length_b 8.912
_cell_length_c 11.545
_cell_angle_alpha 90.00
_cell_angle_beta 90.00
_cell_angle_gamma 90.00
_symmetry_space_group_name_H-M 'F m m m'
_symmetry_Int_Tables_number 69
_symmetry_space_group_name_Hall '-F 2 2'
loop_
_atom_site_label
_atom_site_fract_x
_atom_site_fract_y
_atom_site_fract_z
Tm1 0.000 0.000 0.134
Be1 0.000 0.185 0.345
Co1 0.000 0.000 0.500
Co2 0.250 0.250 0.000
```